1.
Material: CuAuBr2
Method: DFT, SCAN
State: single point on PBEsol structure

Unit cell a=3.7082 b=3.7082 c=7.6897 alpha=90.00 beta=90.00 gamma=119.23
Element x y z (fractional)
Cu1 0.0000 0.0000 0.0000
Au1 0.5000 0.5000 0.7850
Br1 0.0000 0.0000 0.5625
Br2 0.5000 0.5000 0.1810

Properties
energy above the lowest structure with this stoichiometry = 0.00 kJ/mol of atoms
E_form (uncorrected) = -0.0649 eV/atom
volume = 23.069 A^3/atom
symmetry = Cmm2, No. 35

***

2.
Material: CuAuBr2
Method: DFT, SCAN
State: single point on PBEsol structure

Unit cell a=3.5451 b=3.5451 c=6.8601 alpha=90.00 beta=90.00 gamma=90.00
Element x y z (fractional)
Cu1 0.0000 0.0000 0.0000
Au1 0.5000 0.5000 0.1351
Br1 0.0000 0.0000 0.3568
Br2 0.5000 0.5000 0.7686

Properties
energy above the lowest structure with this stoichiometry = 9.46 kJ/mol of atoms
E_form (uncorrected) = 0.0332 eV/atom
volume = 21.554 A^3/atom
symmetry = P4mm, No. 99

***

3.
Material: CuAuBr2
Method: DFT, SCAN
State: single point on PBEsol structure

Unit cell a=3.6853 b=3.6943 c=6.6066 alpha=90.00 beta=90.00 gamma=90.00
Element x y z (fractional)
Cu1 0.0000 0.0000 0.0000
Au1 0.0000 0.5000 0.5000
Br1 0.5000 0.0000 0.5000
Br2 0.5000 0.5000 0.0000

Properties
energy above the lowest structure with this stoichiometry = 20.33 kJ/mol of atoms
E_form (uncorrected) = 0.1458 eV/atom
volume = 22.487 A^3/atom
symmetry = Pmmm, No. 47

***

Computed values of E_tot (unit: eV/atom) for the preceding records, in sequence: -30.8837; -30.7856; -30.6730.